# 1
UAsPdAu: optimized geometry, GGA-PBE.

CIF file:
```
data_UAsPdAu
_cell_length_a 6.798
_cell_length_b 6.798
_cell_length_c 6.798
_cell_angle_alpha 90.00
_cell_angle_beta 90.00
_cell_angle_gamma 90.00
_space_group_name_H-M_alt 'F -4 3 m'
_space_group_IT_number 216
_space_group_name_Hall 'F -4 2 3'
loop_
_atom_site_label
_atom_site_fract_x
_atom_site_fract_y
_atom_site_fract_z
_atom_site_occupancy
U1 0.000 0.000 0.000 1
As1 0.250 0.250 0.750 1
Pd1 0.000 0.000 0.500 1
Au1 0.250 0.250 0.250 1
```

Results
The value obtained for the formation energy is -327 meV/atom. As for the total energy: -6.43 eV/atom.


# 2
Pm3AsAu: optimized geometry, GGA-PBE.

CIF file:
```
data_Pm3AsAu
_cell_length_a 5.505
_cell_length_b 5.505
_cell_length_c 5.505
_cell_angle_alpha 90.00
_cell_angle_beta 90.00
_cell_angle_gamma 90.00
_space_group_name_H-M_alt 'P m -3 m'
_space_group_IT_number 221
_space_group_name_Hall '-P 4 2 3'
loop_
_atom_site_label
_atom_site_fract_x
_atom_site_fract_y
_atom_site_fract_z
_atom_site_occupancy
Pm1 0.000 0.000 0.500 1
As1 0.000 0.000 0.000 1
Au1 0.500 0.500 0.500 1
```

Results
The value obtained for the formation energy is -319 meV/atom. As for the total energy: -4.75 eV/atom.


# 3
PmAsAu2: optimized geometry, GGA-PBE.

CIF file:
```
data_PmAsAu2
_cell_length_a 4.156
_cell_length_b 4.156
_cell_length_c 5.005
_cell_angle_alpha 90.00
_cell_angle_beta 90.00
_cell_angle_gamma 90.00
_space_group_name_H-M_alt 'P 4/m m m'
_space_group_IT_number 123
_space_group_name_Hall '-P 4 2'
loop_
_atom_site_label
_atom_site_fract_x
_atom_site_fract_y
_atom_site_fract_z
_atom_site_occupancy
Pm1 0.000 0.000 0.000 1
As1 0.500 0.500 0.000 1
Au1 0.000 0.500 0.500 1
```

Results
The value obtained for the formation energy is -631 meV/atom. As for the total energy: -4.62 eV/atom.


# 4
PmAs2Au2: optimized geometry, GGA-PBE.

CIF file:
```
data_PmAs2Au2
_cell_length_a 4.135
_cell_length_b 24.508
_cell_length_c 4.118
_cell_angle_alpha 90.00
_cell_angle_beta 90.00
_cell_angle_gamma 90.00
_space_group_name_H-M_alt 'C m c m'
_space_group_IT_number 63
_space_group_name_Hall '-C 2c 2'
loop_
_atom_site_label
_atom_site_fract_x
_atom_site_fract_y
_atom_site_fract_z
_atom_site_occupancy
Pm1 0.000 0.155 0.250 1
As1 0.000 0.250 0.750 1
As2 0.000 0.380 0.250 1
Au1 0.000 0.046 0.750 1
Au2 0.000 0.457 0.750 1
```

Results
The value obtained for the formation energy is -600 meV/atom. As for the total energy: -4.72 eV/atom.


# 5
PmAsAu: optimized geometry, GGA-PBE.

CIF file:
```
data_PmAsAu
_cell_length_a 4.3893
_cell_length_b 4.3893
_cell_length_c 4.1262
_cell_angle_alpha 90.00
_cell_angle_beta 90.00
_cell_angle_gamma 120.00
_space_group_name_H-M_alt 'P 3 m 1'
_space_group_IT_number 156
loop_
_space_group_symop_operation_xyz
'x,y,z'
'-y,x-y,z'
'-x+y,-x,z'
'-y,-x,z'
'-x+y,y,z'
'x,x-y,z'
loop_
_atom_site_label
_atom_site_fract_x
_atom_site_fract_y
_atom_site_fract_z
_atom_site_occupancy
Pm1 0.0000 0.0000 0.0000 1
As1 0.3333 0.6667 0.4467 1
Au1 0.6667 0.3333 0.5594 1
```

Results
The value obtained for the formation energy is -905 meV/atom. As for the total energy: -5.13 eV/atom. The energy above the most stable polymorph in this dataset comes out at 3.30 kJ/mol of atoms.


# 6
Pm2AsAu: optimized geometry, GGA-PBE.

CIF file:
```
data_Pm2AsAu
_cell_length_a 4.129
_cell_length_b 24.240
_cell_length_c 4.295
_cell_angle_alpha 90.00
_cell_angle_beta 90.00
_cell_angle_gamma 90.00
_space_group_name_H-M_alt 'C m c m'
_space_group_IT_number 63
_space_group_name_Hall '-C 2c 2'
loop_
_atom_site_label
_atom_site_fract_x
_atom_site_fract_y
_atom_site_fract_z
_atom_site_occupancy
Pm1 0.000 0.070 0.250 1
Pm2 0.000 0.311 0.250 1
As1 0.000 0.189 0.250 1
Au1 0.000 0.457 0.250 1
```

Results
The value obtained for the formation energy is -1134 meV/atom. As for the total energy: -5.49 eV/atom. The energy above the most stable polymorph in this dataset comes out at 0.00 kJ/mol of atoms.


# 7
PmAs4Au: optimized geometry, GGA-PBE.

CIF file:
```
data_PmAs4Au
_cell_length_a 7.998
_cell_length_b 7.998
_cell_length_c 7.998
_cell_angle_alpha 90.00
_cell_angle_beta 90.00
_cell_angle_gamma 90.00
_space_group_name_H-M_alt 'F -4 3 m'
_space_group_IT_number 216
_space_group_name_Hall 'F -4 2 3'
loop_
_atom_site_label
_atom_site_fract_x
_atom_site_fract_y
_atom_site_fract_z
_atom_site_occupancy
Pm1 0.000 0.000 0.000 1
As1 0.120 0.120 0.380 1
Au1 0.250 0.250 0.750 1
```

Results
The value obtained for the formation energy is -148 meV/atom. As for the total energy: -4.59 eV/atom.


# 8
Pm2AsAu: optimized geometry, GGA-PBE.

CIF file:
```
data_Pm2AsAu
_cell_length_a 7.341
_cell_length_b 7.341
_cell_length_c 7.341
_cell_angle_alpha 90.00
_cell_angle_beta 90.00
_cell_angle_gamma 90.00
_space_group_name_H-M_alt 'F m -3 m'
_space_group_IT_number 225
_space_group_name_Hall '-F 4 2 3'
loop_
_atom_site_label
_atom_site_fract_x
_atom_site_fract_y
_atom_site_fract_z
_atom_site_occupancy
Pm1 0.250 0.250 0.250 1
As1 0.000 0.000 0.000 1
Au1 0.000 0.000 0.500 1
```

Results
The value obtained for the formation energy is -890 meV/atom. As for the total energy: -5.25 eV/atom. The energy above the most stable polymorph in this dataset comes out at 23.52 kJ/mol of atoms.